Material: Er3UAg3Se8
Method: DFT, PBE-GGA
State: optimized geometry

Values from the calculation:
The value obtained for the formation energy without anion corrections is -1147 meV per atom. For the total energy, the calculation gives -78.6 eV/f.u.

Cell: 13.7441 8.2829 8.0471 Å, 90.00 123.19 90.00°
Last column: nearest neighbours and their distance in Å.
Space group C2/m (No. 12)
Inequivalent atoms, fractional coordinates:
Er  0.0000  0.0000  0.0000 (multiplicity 2)  6 Se 2.85-2.87
Er  0.2500  0.2500  0.5000 (multiplicity 4)  6 Se 2.85-2.87
U  0.0000  0.5000  0.0000 (multiplicity 2)  6 Se 2.86
Ag  0.0000  0.5000  0.5000 (multiplicity 2)  6 Se 2.89-2.93
Ag  0.2500  0.2500  0.0000 (multiplicity 4)  6 Se 2.91-2.93
Se  0.0029  0.2491  0.2467 (multiplicity 8)  2 Er 2.85, 1 U 2.86, 2 Ag 2.91-2.93
Se  0.2479  0.5000  0.2551 (multiplicity 4)  2 Er 2.85, 1 U 2.86, 2 Ag 2.93
Se  0.2489  0.0000  0.2524 (multiplicity 4)  3 Er 2.87, 3 Ag 2.89-2.91